A plane-wave DFT calculation with PBE-GGA was carried out for a relaxed structure of Nd3GeRh2.

Cell: 3.9739 12.3725 12.0718 Å, 90.00 90.00 90.00°
With the nearest neighbours (Å) after each atom.
Atoms (fractional coordinates):
Nd1 0.2500 0.3803 0.0612  5 Rh 3.02-3.27, 1 Ge 3.12
Nd2 0.7500 0.6197 0.9388  5 Rh 3.02-3.27, 1 Ge 3.12
Nd3 0.7500 0.8803 0.4388  5 Rh 3.02-3.27, 1 Ge 3.12
Nd4 0.2500 0.1197 0.5612  5 Rh 3.02-3.27, 1 Ge 3.12
Nd5 0.2500 0.6852 0.1979  3 Rh 2.89-2.93, 2 Ge 3.04
Nd6 0.7500 0.3148 0.8021  3 Rh 2.89-2.93, 2 Ge 3.04
Nd7 0.7500 0.1852 0.3021  3 Rh 2.89-2.93, 2 Ge 3.04
Nd8 0.2500 0.8148 0.6979  3 Rh 2.89-2.93, 2 Ge 3.04
Nd9 0.2500 0.4405 0.3736  5 Rh 3.10-3.45, 3 Ge 3.10-3.12
Nd10 0.7500 0.5595 0.6264  5 Rh 3.10-3.45, 3 Ge 3.10-3.12
Nd11 0.7500 0.9405 0.1264  5 Rh 3.10-3.45, 3 Ge 3.10-3.12
Nd12 0.2500 0.0595 0.8736  5 Rh 3.10-3.45, 3 Ge 3.10-3.12
Ge1 0.2500 0.1346 0.1188  3 Rh 2.49-2.76
Ge2 0.7500 0.8654 0.8812  3 Rh 2.49-2.76
Ge3 0.7500 0.6346 0.3812  3 Rh 2.49-2.76
Ge4 0.2500 0.3654 0.6188  3 Rh 2.49-2.76
Rh1 0.2500 0.6960 0.4883  2 Ge 2.49
Rh2 0.7500 0.3040 0.5117  2 Ge 2.49
Rh3 0.7500 0.1960 0.0117  2 Ge 2.49
Rh4 0.2500 0.8040 0.9883  2 Ge 2.49
Rh5 0.2500 0.0157 0.3118  1 Ge 2.76, 4 Nd 2.89-3.02
Rh6 0.7500 0.9843 0.6882  1 Ge 2.76, 4 Nd 2.89-3.02
Rh7 0.7500 0.5157 0.1882  1 Ge 2.76, 4 Nd 2.89-3.02
Rh8 0.2500 0.4843 0.8118  1 Ge 2.76, 4 Nd 2.89-3.02

Values from the calculation:
D(E_F), states/eV/f.u.: 4.3
Spin magnetization, μB per cell: 0.00
Uncorrected energy, eV/atom: -6.292
Symmetry: Pnma, No. 62


A plane-wave DFT calculation with PBE-GGA was carried out for a relaxed structure of NdGe3Rh3.

Cell: 7.8175 7.8175 7.8175 Å, 90.00 90.00 90.00°
With the nearest neighbours (Å) after each atom.
Atoms (fractional coordinates):
Nd1 0.0574 0.5574 0.9426  6 Ge 2.90-3.04, 4 Rh 2.94-3.23
Nd2 0.9426 0.0574 0.5574  6 Ge 2.90-3.04, 4 Rh 2.94-3.23
Nd3 0.4426 0.4426 0.4426  6 Ge 2.90-3.04, 4 Rh 2.94-3.23
Nd4 0.5574 0.9426 0.0574  6 Ge 2.90-3.04, 4 Rh 2.94-3.23
Ge1 0.6948 0.5816 0.0154  5 Rh 2.52-2.73, 2 Ge 2.76
Ge2 0.9184 0.9846 0.1948  5 Rh 2.52-2.73, 2 Ge 2.76
Ge3 0.0154 0.6948 0.5816  5 Rh 2.52-2.73, 2 Ge 2.76
Ge4 0.0816 0.4846 0.3052  5 Rh 2.52-2.73, 2 Ge 2.76
Ge5 0.3052 0.0817 0.4846  5 Rh 2.52-2.73, 2 Ge 2.76
Ge6 0.1948 0.9184 0.9846  5 Rh 2.52-2.73, 2 Ge 2.76
Ge7 0.9846 0.1948 0.9184  5 Rh 2.52-2.73, 2 Ge 2.76
Ge8 0.4184 0.5154 0.8052  5 Rh 2.52-2.73, 2 Ge 2.76
Ge9 0.4846 0.3052 0.0816  5 Rh 2.52-2.73, 2 Ge 2.76
Ge10 0.5817 0.0154 0.6948  5 Rh 2.52-2.73, 2 Ge 2.76
Ge11 0.8052 0.4184 0.5154  5 Rh 2.52-2.73, 2 Ge 2.76
Ge12 0.5154 0.8052 0.4183  5 Rh 2.52-2.73, 2 Ge 2.76
Rh1 0.8188 0.3188 0.1812  6 Ge 2.62-2.73, 1 Rh 2.81
Rh2 0.8888 0.8889 0.8888  3 Ge 2.52, 1 Rh 2.81
Rh3 0.8066 0.6934 0.3066  6 Ge 2.59-2.70
Rh4 0.1812 0.8188 0.3188  6 Ge 2.62-2.73, 1 Rh 2.81
Rh5 0.1934 0.1934 0.1934  6 Ge 2.59-2.70
Rh6 0.3066 0.8066 0.6934  6 Ge 2.59-2.70
Rh7 0.1112 0.3888 0.6111  3 Ge 2.52, 1 Rh 2.81
Rh8 0.3188 0.1812 0.8188  6 Ge 2.62-2.73, 1 Rh 2.81
Rh9 0.6934 0.3066 0.8066  6 Ge 2.59-2.70
Rh10 0.6812 0.6812 0.6812  6 Ge 2.62-2.73, 1 Rh 2.81
Rh11 0.6112 0.1112 0.3888  3 Ge 2.52, 1 Rh 2.81
Rh12 0.3889 0.6112 0.1112  3 Ge 2.52, 1 Rh 2.81

Values from the calculation:
D(E_F), states/eV/f.u.: 2.2
Spin magnetization, μB per cell: 0.00
ΔE to the lowest computed polymorph, kJ/mol of formula units: 0
Uncorrected energy, eV/atom: -6.417
Symmetry: P2_13, No. 198


A plane-wave DFT calculation with PBE-GGA was carried out for a relaxed structure of Nd5Ge5Rh2.

Cell: 4.3103 8.0147 8.8701 Å, 87.82 75.94 74.40°
With the nearest neighbours (Å) after each atom.
Atoms (fractional coordinates):
Nd1 0.0000 0.5000 0.5000  6 Ge 3.10-3.32, 4 Rh 3.12
Nd2 0.6937 0.6911 0.9214  3 Rh 3.04-3.06, 7 Ge 3.13-3.27
Nd3 0.3730 0.9280 0.3261  5 Ge 3.00-3.15, 1 Rh 3.13
Nd4 0.6270 0.0720 0.6739  5 Ge 3.00-3.15, 1 Rh 3.13
Nd5 0.3063 0.3089 0.0786  3 Rh 3.04-3.06, 7 Ge 3.13-3.27
Ge1 0.7199 0.2229 0.3373  1 Rh 2.55
Ge2 0.9451 0.3020 0.8077  2 Rh 2.55
Ge3 0.0549 0.6980 0.1923  2 Rh 2.55
Ge4 0.2801 0.7771 0.6627  1 Rh 2.55
Ge5 0.0000 0.0000 0.0000  2 Ge 2.90
Rh1 0.3853 0.4690 0.7604  3 Ge 2.55
Rh2 0.6147 0.5310 0.2396  3 Ge 2.55

Values from the calculation:
D(E_F), states/eV/f.u.: 8.6
Spin magnetization, μB per cell: 0.00
Uncorrected energy, eV/atom: -5.916
Symmetry: C2/m, No. 12


A plane-wave DFT calculation with PBE-GGA was carried out for a relaxed structure of Nd3Ge5Rh6.

Cell: 4.1153 9.9637 12.7794 Å, 90.00 90.00 90.00°
With the nearest neighbours (Å) after each atom.
Atoms (fractional coordinates):
Nd1 0.0000 0.2532 0.6607  7 Rh 3.09-3.39, 6 Ge 3.15-3.20
Nd2 0.5000 0.7468 0.1607  7 Rh 3.09-3.39, 6 Ge 3.15-3.20
Nd3 0.5000 0.7468 0.8393  7 Rh 3.09-3.39, 6 Ge 3.15-3.20
Nd4 0.0000 0.2542 0.0000  6 Ge 3.01-3.19, 6 Rh 3.13-3.28
Nd5 0.5000 0.7458 0.5000  6 Ge 3.01-3.19, 6 Rh 3.13-3.28
Nd6 0.0000 0.2532 0.3393  7 Rh 3.09-3.39, 6 Ge 3.15-3.20
Ge1 0.0000 0.5129 0.8786  5 Rh 2.44-2.58
Ge2 0.0000 0.8524 0.6719  5 Rh 2.49-2.55
Ge3 0.0000 0.8804 0.0000  4 Rh 2.47-2.49
Ge4 0.5000 0.4871 0.6214  5 Rh 2.44-2.58
Ge5 0.5000 0.1196 0.5000  4 Rh 2.47-2.49
Ge6 0.0000 0.5129 0.1214  5 Rh 2.44-2.58
Ge7 0.5000 0.4871 0.3786  5 Rh 2.44-2.58
Ge8 0.0000 0.8524 0.3281  5 Rh 2.49-2.55
Ge9 0.5000 0.1476 0.8281  5 Rh 2.49-2.55
Ge10 0.5000 0.1476 0.1719  5 Rh 2.49-2.55
Rh1 0.0000 0.0066 0.8315  4 Ge 2.49-2.55
Rh2 0.5000 0.9934 0.6685  4 Ge 2.49-2.55
Rh3 0.5000 0.4004 0.7998  4 Ge 2.44-2.55
Rh4 0.5000 0.5086 0.0000  4 Ge 2.58, 2 Rh 2.78
Rh5 0.0000 0.4914 0.5000  4 Ge 2.58, 2 Rh 2.78
Rh6 0.0000 0.5996 0.7002  4 Ge 2.44-2.55
Rh7 0.0000 0.5996 0.2998  4 Ge 2.44-2.55
Rh8 0.5000 0.0174 0.0000  4 Ge 2.47-2.55
Rh9 0.0000 0.0066 0.1685  4 Ge 2.49-2.55
Rh10 0.5000 0.4004 0.2002  4 Ge 2.44-2.55
Rh11 0.0000 0.9826 0.5000  4 Ge 2.47-2.55
Rh12 0.5000 0.9934 0.3315  4 Ge 2.49-2.55

Values from the calculation:
D(E_F), states/eV/f.u.: 5.7
Spin magnetization, μB per cell: 0.00
Uncorrected energy, eV/atom: -6.688
Symmetry: Pmmn, No. 59


A plane-wave DFT calculation with PBE-GGA was carried out for a relaxed structure of Nd2Ge6Rh.

Cell: 5.5009 6.1165 6.1165 Å, 60.01 89.99 89.99°
With the nearest neighbours (Å) after each atom.
Atoms (fractional coordinates):
Nd1 0.8237 0.6668 0.6668  12 Ge 3.14-3.24
Nd2 0.1763 0.3332 0.3332  12 Ge 3.14-3.24
Ge1 0.3133 0.3608 0.8194  1 Rh 2.57, 4 Ge 2.80-2.81
Ge2 0.3134 0.8195 0.8195  1 Rh 2.57, 4 Ge 2.81
Ge3 0.3133 0.8194 0.3608  1 Rh 2.57, 4 Ge 2.80-2.81
Ge4 0.6867 0.6392 0.1805  1 Rh 2.57, 4 Ge 2.80-2.81
Ge5 0.6866 0.1805 0.1805  1 Rh 2.57, 4 Ge 2.81
Ge6 0.6867 0.1805 0.6392  1 Rh 2.57, 4 Ge 2.80-2.81
Rh1 0.0000 0.0000 0.0000  6 Ge 2.57

Values from the calculation:
D(E_F), states/eV/f.u.: 4.4
Spin magnetization, μB per cell: 0.00
ΔE to the lowest computed polymorph, kJ/mol of formula units: 10
Uncorrected energy, eV/atom: -5.486
Symmetry: P-3m1, No. 164


A plane-wave DFT calculation with PBE-GGA was carried out for a relaxed structure of Nd2Ge4Rh5.

Cell: 5.7156 5.6575 7.8655 Å, 79.42 68.69 59.66°
With the nearest neighbours (Å) after each atom.
Atoms (fractional coordinates):
Nd1 0.8715 0.0000 0.2570  6 Ge 3.24-3.36, 10 Rh 3.34-3.42
Nd2 0.1285 0.0000 0.7430  6 Ge 3.24-3.36, 10 Rh 3.34-3.42
Ge1 0.4742 0.3125 0.7391  5 Rh 2.44-2.56
Ge2 0.5258 0.6875 0.2609  5 Rh 2.44-2.56
Ge3 0.2133 0.3125 0.2609  5 Rh 2.44-2.56
Ge4 0.7867 0.6875 0.7391  5 Rh 2.44-2.56
Rh1 0.5000 0.0000 0.0000  4 Ge 2.45
Rh2 0.0000 0.5000 0.0000  4 Ge 2.56, 4 Rh 2.83-2.86
Rh3 0.5000 0.5000 0.0000  4 Ge 2.56, 4 Rh 2.83-2.86
Rh4 0.2500 0.5000 0.5000  4 Ge 2.44
Rh5 0.7500 0.5000 0.5000  4 Ge 2.44

Values from the calculation:
D(E_F), states/eV/f.u.: 4.3
Spin magnetization, μB per cell: 0.00
Uncorrected energy, eV/atom: -6.675
Symmetry: Fmmm, No. 69


A plane-wave DFT calculation with PBE-GGA was carried out for a relaxed structure of Nd4GeRh4.

Cell: 5.6780 8.6224 8.6224 Å, 90.00 90.00 90.00°
With the nearest neighbours (Å) after each atom.
Atoms (fractional coordinates):
Nd1 0.1057 0.5366 0.1877  3 Rh 2.86-2.95
Nd2 0.1057 0.9634 0.3123  3 Rh 2.86-2.95
Nd3 0.6057 0.8123 0.0366  3 Rh 2.86-2.95
Nd4 0.6057 0.6877 0.4634  3 Rh 2.86-2.95
Nd5 0.8943 0.4634 0.8123  3 Rh 2.86-2.95
Nd6 0.8943 0.0366 0.6877  3 Rh 2.86-2.95
Nd7 0.3943 0.1877 0.9634  3 Rh 2.86-2.95
Nd8 0.3943 0.3123 0.5366  3 Rh 2.86-2.95
Ge1 0.7500 0.2500 0.2500  4 Rh 2.40
Ge2 0.2500 0.7500 0.7500  4 Rh 2.40
Rh1 0.0994 0.6437 0.5126  1 Ge 2.40
Rh2 0.0994 0.8563 0.9874  1 Ge 2.40
Rh3 0.5994 0.4874 0.1437  1 Ge 2.40
Rh4 0.5994 0.0126 0.3563  1 Ge 2.40
Rh5 0.9006 0.3563 0.4874  1 Ge 2.40
Rh6 0.9006 0.1437 0.0126  1 Ge 2.40
Rh7 0.4006 0.5126 0.8563  1 Ge 2.40
Rh8 0.4006 0.9874 0.6437  1 Ge 2.40

Values from the calculation:
D(E_F), states/eV/f.u.: 7.0
Spin magnetization, μB per cell: 0.00
Uncorrected energy, eV/atom: -6.543
Symmetry: P4_2/n, No. 86


A plane-wave DFT calculation with PBE-GGA was carried out for a relaxed structure of Nd3Ge3Rh2.

Cell: 4.3837 5.8627 14.6896 Å, 90.00 90.00 111.95°
With the nearest neighbours (Å) after each atom.
Atoms (fractional coordinates):
Nd1 0.9164 0.8328 0.3901  7 Ge 3.10-3.34, 4 Rh 3.11-3.34
Nd2 0.0836 0.1672 0.8901  7 Ge 3.10-3.34, 4 Rh 3.11-3.34
Nd3 0.9164 0.8328 0.1099  7 Ge 3.10-3.34, 4 Rh 3.11-3.34
Nd4 0.0836 0.1672 0.6099  7 Ge 3.10-3.34, 4 Rh 3.11-3.34
Nd5 0.6407 0.2815 0.2500  5 Ge 3.07-3.29, 4 Rh 3.18
Nd6 0.3593 0.7185 0.7500  5 Ge 3.07-3.29, 4 Rh 3.18
Ge1 0.6259 0.2517 0.4639  3 Rh 2.52-2.73
Ge2 0.3741 0.7483 0.9639  3 Rh 2.52-2.73
Ge3 0.6259 0.2517 0.0361  3 Rh 2.52-2.73
Ge4 0.3741 0.7483 0.5361  3 Rh 2.52-2.73
Ge5 0.3385 0.6771 0.2500  2 Rh 2.66
Ge6 0.6615 0.3229 0.7500  2 Rh 2.66
Rh1 0.7975 0.5951 0.9002  4 Ge 2.52-2.73
Rh2 0.2025 0.4049 0.4002  4 Ge 2.52-2.73
Rh3 0.7975 0.5951 0.5998  4 Ge 2.52-2.73
Rh4 0.2025 0.4049 0.0998  4 Ge 2.52-2.73

Values from the calculation:
D(E_F), states/eV/f.u.: 5.5
Spin magnetization, μB per cell: 0.00
ΔE to the lowest computed polymorph, kJ/mol of formula units: 0
Uncorrected energy, eV/atom: -6.231
Symmetry: Cmcm, No. 63